A plane-wave DFT calculation with PBE was carried out for a relaxed MnAlHg2 crystal.

**Magnetization**: 3.69 μB per cell
**E_form**: 103 kJ/mol of formula units
**SG**: No. 65

Geometry as CIF:
```
data_MnAlHg2
_chemical_formula_sum 'Mn1 Al1 Hg2'
_space_group_name_H-M_alt 'P 1'
_space_group_IT_number 1
_space_group_name_Hall 'P 1'
_cell_length_a 4.8579
_cell_length_b 4.8579
_cell_length_c 3.3828
_cell_angle_alpha 90.00
_cell_angle_beta 90.00
_cell_angle_gamma 105.72
loop_
_atom_site_label
_atom_site_type_symbol
_atom_site_fract_x
_atom_site_fract_y
_atom_site_fract_z
Al1 Al 0.0000 0.5000 0.5000
Hg1 Hg 0.5000 0.5000 0.0000
Hg2 Hg 0.0000 0.0000 0.0000
Mn1 Mn 0.5000 0.0000 0.5000
```